No. 1
VASP calculation (PBE) on a geometry-optimized NbRe2Ge2 structure. Values from VASP.

total magnetization: 0.00 Bohr magnetons per cell
energy: -86.76 eV/cell
symmetry: P4/mbm, No. 127
formation energy: 0.16 eV per atom

Structure (Quantum ESPRESSO input):
```
&SYSTEM
  ibrav = 0, nat = 10, ntyp = 3
/
ATOMIC_SPECIES
Re 186.21 Re.upf
Ge 72.64 Ge.upf
Nb 92.91 Nb.upf
ATOMIC_POSITIONS crystal
Re 0.646 0.854 0.500
Re 0.854 0.354 0.500
Re 0.146 0.646 0.500
Re 0.354 0.146 0.500
Ge 0.150 0.350 0.000
Ge 0.650 0.150 0.000
Ge 0.850 0.650 0.000
Ge 0.350 0.850 0.000
Nb 0.000 0.000 0.000
Nb 0.500 0.500 0.000
CELL_PARAMETERS angstrom
-6.313 -1.053 3.263
3.403 -2.768 5.689
0.178 2.761 1.236
```

=====

No. 2
VASP calculation (PBE) on a geometry-optimized Nb7Pt2C2 structure. Values from VASP.

total magnetization: 0.00 Bohr magnetons per cell
energy: -103.52 eV/cell
symmetry: Imm2, No. 44
formation energy: -0.23 eV per atom

Structure (Quantum ESPRESSO input):
```
&SYSTEM
  ibrav = 0, nat = 11, ntyp = 3
/
ATOMIC_SPECIES
Nb 92.91 Nb.upf
Pt 195.08 Pt.upf
C 12.01 C.upf
ATOMIC_POSITIONS crystal
Nb 0.500 0.019 0.981
Nb 0.354 0.736 0.555
Nb 0.820 0.089 0.271
Nb 0.840 0.418 0.901
Nb 0.646 0.445 0.264
Nb 0.160 0.099 0.582
Nb 0.180 0.729 0.911
Pt 0.500 0.363 0.637
Pt 0.000 0.715 0.285
C 0.744 0.876 0.636
C 0.256 0.364 0.124
CELL_PARAMETERS angstrom
-0.818 -2.650 -1.045
7.128 -2.265 -4.035
6.163 -4.850 3.275
```

=====

No. 3
VASP calculation (PBE) on a geometry-optimized NpScGaHg structure. Values from VASP.

total magnetization: 5.02 Bohr magnetons per cell
energy: -22.99 eV/cell
symmetry: F-43m, No. 216
formation energy: -0.10 eV per atom

Structure (Quantum ESPRESSO input):
```
&SYSTEM
  ibrav = 0, nat = 4, ntyp = 4
/
ATOMIC_SPECIES
Np 237.00 Np.upf
Ga 69.72 Ga.upf
Hg 200.59 Hg.upf
Sc 44.96 Sc.upf
ATOMIC_POSITIONS crystal
Np 0.250 0.250 0.250
Ga 0.000 0.000 0.000
Hg 0.500 0.500 0.500
Sc 0.750 0.750 0.750
CELL_PARAMETERS angstrom
5.052 0.000 0.000
2.526 4.375 0.000
2.526 1.458 4.125
```

=====

No. 4
VASP calculation (PBE) on a geometry-optimized EuScCu2 structure. Values from VASP.

total magnetization: 6.89 Bohr magnetons per cell
energy: -25.15 eV/cell
symmetry: P4/mmm, No. 123
energy above the lowest structure with this stoichiometry: 1.793 kcal/mol of atoms
formation energy: -0.09 eV per atom

Structure (Quantum ESPRESSO input):
```
&SYSTEM
  ibrav = 0, nat = 4, ntyp = 3
/
ATOMIC_SPECIES
Sc 44.96 Sc.upf
Cu 63.55 Cu.upf
Eu 151.96 Eu.upf
ATOMIC_POSITIONS crystal
Sc 0.500 0.500 0.500
Cu 0.000 0.000 0.500
Cu 0.000 0.500 0.000
Eu 0.500 0.000 0.000
CELL_PARAMETERS angstrom
-0.377 -1.068 3.176
1.825 -4.363 -1.250
4.505 1.579 1.065
```